Computed, not measured: crystalline KCr2Re at its relaxed geometry at the PBE level of DFT.

Lattice parameters (Å, degrees): 5.625 5.625 5.625 140.54 140.54 57.03
Site moments in Bohr magnetons follow the coordinates.
Sites, in units of the cell vectors:
1 Re 0.750 0.250 0.500  0.48
2 Cr 0.250 0.750 0.500  -2.44
3 Cr 0.000 0.000 0.000  3.63
4 K 0.500 0.500 0.000  0.07

M_tot, μB per formula unit: 2.01
E_form, eV/atom: 1.6970
N(E_F), states/eV per atom: 0.909